No. 1
AsRu | PBE-GGA | relaxed Values from VASP.

Calculated values
The calculation puts the density of states at the Fermi level at 1.054 states/eV/f.u. The final energy is -7.048 eV/atom. As for the formation enthalpy at 0 K: -0.085 eV/atom.

Structure (Quantum ESPRESSO input):
```
&SYSTEM
  ibrav = 0, nat = 4, ntyp = 2
/
ATOMIC_SPECIES
Ru 101.07 Ru.upf
As 74.92 As.upf
CELL_PARAMETERS angstrom
-3.2009 -2.8432 2.0194
0.2428 -5.5633 1.5564
0.4256 0.0201 3.0477
ATOMIC_POSITIONS angstrom
Ru -1.3749 -4.2516 3.3273
Ru -1.0984 -1.5848 1.7175
As 0.6019 -5.5376 4.6134
As -2.4068 -5.8421 5.0356
```

=====

No. 2
Cr2InS4 | PBE-GGA | relaxed Values from VASP.

Calculated values
The calculation puts the density of states at the Fermi level at 2.643 states/eV/f.u. The final energy is -6.127 eV/atom. Its energy above the most stable polymorph in this dataset is 0 meV/atom.

Structure (Quantum ESPRESSO input):
```
&SYSTEM
  ibrav = 0, nat = 14, ntyp = 3
/
ATOMIC_SPECIES
Cr 52.00 Cr.upf
In 114.82 In.upf
S 32.06 S.upf
CELL_PARAMETERS angstrom
-2.8435 6.3131 2.5009
-2.5416 -3.4988 5.9577
7.1430 -0.3905 -1.7340
ATOMIC_POSITIONS angstrom
Cr 2.6268 2.3408 2.4967
Cr -2.2153 0.7866 6.3427
Cr -0.9447 2.5357 3.3636
Cr 4.0489 -0.8156 1.2462
In 0.9549 -1.2414 4.2258
In 7.1429 -0.3904 -1.7338
S -0.7814 4.8156 2.4975
S -1.1076 0.2562 4.2304
S 1.2201 3.1257 4.3350
S 2.3226 4.6473 1.7477
S 0.4521 2.0721 1.4126
S 4.0334 1.5561 0.6584
S 2.9315 0.0344 3.2458
S -2.3414 2.9997 5.3147
```

=====

No. 3
Na12Te5S2 | PBE-GGA | relaxed Values from VASP.

Calculated values
The calculation puts the density of states at the Fermi level at 0.000 states/eV/f.u. The final energy is -2.934 eV/atom.

Structure (Quantum ESPRESSO input):
```
&SYSTEM
  ibrav = 0, nat = 19, ntyp = 3
/
ATOMIC_SPECIES
Na 22.99 Na.upf
Te 127.60 Te.upf
S 32.06 S.upf
CELL_PARAMETERS angstrom
7.3919 0.0000 0.0000
-3.6960 8.0265 -2.6315
0.0000 0.0949 10.4434
ATOMIC_POSITIONS angstrom
Na 3.6960 7.2051 -0.2112
Na -1.7734 5.3573 7.6917
Na 1.7734 5.3573 7.6917
Na -1.8162 5.5533 2.7095
Na 1.8162 5.5533 2.7095
Na 0.0000 8.0030 5.5364
Na 3.6960 0.1184 2.2756
Na 5.5121 2.5681 5.1024
Na 1.8798 2.5681 5.1024
Na 5.4693 2.7641 0.1203
Na 1.9226 2.7641 0.1203
Na 0.0000 0.9163 8.0231
Te 0.0000 5.0681 5.1904
Te 0.0000 5.1995 -0.0345
Te 0.0000 0.0475 5.2217
Te 3.6959 2.9219 7.8465
Te 3.6960 3.0533 2.6215
S 6.3076 0.0000 0.0000
S 1.0843 0.0000 0.0000
```

=====

No. 4
Li3Zn4Ni | PBE-GGA | relaxed Values from VASP.

Calculated values
The calculation puts the density of states at the Fermi level at 3.197 states/eV/f.u. The final energy is -2.153 eV/atom. As for the formation enthalpy at 0 K: -0.075 eV/atom. Its energy above the most stable polymorph in this dataset is 124 meV/atom.

Structure (Quantum ESPRESSO input):
```
&SYSTEM
  ibrav = 0, nat = 8, ntyp = 3
/
ATOMIC_SPECIES
Li 6.94 Li.upf
Zn 65.41 Zn.upf
Ni 58.69 Ni.upf
CELL_PARAMETERS angstrom
5.6049 -0.3100 -0.6974
-3.0300 4.7255 0.6974
-2.9579 -1.2336 4.6612
ATOMIC_POSITIONS angstrom
Li 0.0443 -0.0258 3.6743
Li 2.2073 -1.2872 3.3053
Li 0.0305 2.9407 1.6725
Zn -4.1853 2.4407 4.3656
Zn -1.2842 0.7489 1.7694
Zn 1.4798 0.6376 1.2381
Zn -2.8562 3.1236 1.9354
Ni -2.1375 1.2465 3.9619
```

=====

No. 5
InGaP | PBE-GGA | relaxed Values from VASP.

Calculated values
The calculation puts the density of states at the Fermi level at 1.300 states/eV/f.u. The final energy is -3.789 eV/atom. As for the formation enthalpy at 0 K: -0.063 eV/atom. Its energy above the most stable polymorph in this dataset is 0 meV/atom.

Structure (Quantum ESPRESSO input):
```
&SYSTEM
  ibrav = 0, nat = 3, ntyp = 3
/
ATOMIC_SPECIES
P 30.97 P.upf
Ga 69.72 Ga.upf
In 114.82 In.upf
CELL_PARAMETERS angstrom
5.1438 0.0000 0.0000
0.0000 3.8157 0.0000
0.0000 -1.9078 3.3045
ATOMIC_POSITIONS angstrom
P 0.2517 0.0000 0.0000
Ga 1.3629 0.0000 2.2030
In 3.5292 1.9079 1.1015
```

=====

No. 6
CrAgS2 | PBE-GGA | relaxed Values from VASP.

Calculated values
The calculation puts the density of states at the Fermi level at 7.833 states/eV/f.u. The final energy is -4.801 eV/atom.

Structure (Quantum ESPRESSO input):
```
&SYSTEM
  ibrav = 0, nat = 4, ntyp = 3
/
ATOMIC_SPECIES
Cr 52.00 Cr.upf
S 32.06 S.upf
Ag 107.87 Ag.upf
CELL_PARAMETERS angstrom
-0.6138 1.7045 3.9798
-0.8050 4.2746 0.4473
-3.9766 1.3615 1.2058
ATOMIC_POSITIONS angstrom
Cr 0.0000 0.0000 0.0000
S -1.3489 1.8352 1.4082
S -4.0466 5.5055 4.2246
Ag -2.6977 3.6703 2.8164
```